Compound: AlVAu
Source: the Alexandria database
Functional: PBE
Structure: relaxed

Output
Formation energy from the elements   -0.52 eV/f.u.
Density of states at the Fermi level   2.002 states/eV/f.u.
Raw total energy   -5.5543 eV per atom

a b c (Å): 6.1768 6.1768 6.1768
angles (deg): 153.62 153.62 37.66
Fractional positions:
Al 0.0000 0.0000 0.0000
V 0.6558 0.6558 0.0000
Au 0.3276 0.3276 0.0000

Compound: Re2TcF
Source: the Alexandria database
Functional: PBE
Structure: relaxed

Output
Formation energy without anion corrections   0.42 eV/atom
Density of states at the Fermi level   3.071 states/eV/f.u.
Raw total energy   -8.8629 eV per atom
Polymorph energy (0 for the lowest one)   0.0000 eV per atom

a b c (Å): 4.2942 4.2942 4.2942
angles (deg): 60.00 60.00 60.00
Fractional positions:
Re 0.2500 0.2500 0.2500
Re 0.7500 0.7500 0.7500
Tc 0.0000 0.0000 0.0000
F 0.5000 0.5000 0.5000

Compound: Na2PmP2O6
Source: the Alexandria database
Functional: PBE
Structure: relaxed

Output
Formation energy without anion corrections   -2.19 eV/atom
Density of states at the Fermi level   3.773 states/eV/f.u.
Raw total energy   -6.5505 eV per atom

a b c (Å): 5.7084 5.7084 5.9903
angles (deg): 90.00 90.00 120.00
Fractional positions:
Na 0.3333 0.6667 0.3665
Na 0.6667 0.3333 0.6335
Pm 0.0000 0.0000 0.0000
P 0.3333 0.6667 0.8575
P 0.6667 0.3333 0.1425
O 0.1273 0.7497 0.7587
O 0.2503 0.3776 0.7587
O 0.3776 0.1273 0.2413
O 0.6224 0.8727 0.7587
O 0.7497 0.6224 0.2413
O 0.8727 0.2503 0.2413